An optimized crystal structure of CaFe4O6, computed with GGA+U.

Summary:
E (eV/atom): -6.641
Magnetic moment (μB/f.u.): 18.00

Unit cell a=3.0661 b=10.3158 c=15.3344 alpha=90.00 beta=90.00 gamma=90.00
Closest atoms and distances in Å follow each position.
Space group Cmcm (No. 63)
One atom of each set of equivalent atoms:
Ca  0.0000  0.1596  0.2500 (multiplicity 4)  6 O 2.30-2.44
Fe  0.0000  0.0934  0.6334 (multiplicity 8)  5 O 1.97-2.10
Fe  0.0000  0.3638  0.5437 (multiplicity 8)  6 O 2.03-2.27
O  0.0000  0.0000  0.0000 (multiplicity 4)  6 Fe 2.18-2.26
O  0.0000  0.1739  0.7500 (multiplicity 4)  2 Fe 1.97
O  0.0000  0.2870  0.0849 (multiplicity 8)  5 Fe 2.10-2.27
O  0.0000  0.4639  0.6580 (multiplicity 8)  3 Fe 2.03-2.07